This record from the Alexandria database describes crystalline ZrHgS2Cl at its relaxed geometry. The functional is PBE.

Cell lengths 4.946, 4.946, 5.121 Å; angles 90.00, 90.00, 90.00 degrees
Last column: magnetic moment on the atom in μB.
Fractional positions:
S: 0.000 0.500 0.000  -0.08
S: 0.500 0.000 0.000  -0.08
Hg: 0.000 0.000 0.000  0.01
Zr: 0.500 0.500 0.500  1.21
Cl: 0.000 0.000 0.500  -0.02

Calculated values
Volume, A^3/atom: 25.1
Offset from the most stable computed form, meV/atom: 1196
Energy relative to the elements, uncorrected, meV per atom: 409
SG: P4/mmm (123)
DOS at the Fermi energy, states/eV/f.u.: 5.32